Model one:
{"formula": "Mg3NbSe", "functional": "PBE", "state": "relaxed", "lattice_angstrom": [[-0.275, 4.322, -2.470], [-4.946, -0.515, -0.350], [-0.558, 2.431, 4.317]], "species": ["Nb", "Mg", "Mg", "Mg", "Se"], "frac_coords": [[0.500, 0.500, 0.500], [0.500, 0.000, 0.000], [0.000, 0.500, 0.000], [0.000, 0.000, 0.500], [0.000, 0.000, 0.000]], "total_magnetization_mub_per_fu": 2.985, "volume_a3_per_atom": 24.8, "n_ef_per_ev_atom": 0.32, "spacegroup": "Pm-3m (221)"}


Model two:
{"formula": "Mg3NbSe", "functional": "PBE", "state": "relaxed", "lattice_angstrom": [[-0.376, 0.975, -5.310], [-0.986, -5.246, -0.894], [-5.308, 0.905, 0.542]], "species": ["Mg", "Mg", "Mg", "Se", "Nb"], "frac_coords": [[0.000, 0.000, 0.500], [0.500, 0.000, 0.000], [0.000, 0.500, 0.000], [0.500, 0.500, 0.500], [0.000, 0.000, 0.000]], "total_magnetization_mub_per_fu": 3.212, "volume_a3_per_atom": 31.7, "n_ef_per_ev_atom": 0.58, "spacegroup": "Pm-3m (221)"}


What should be chosen as the least stable of them? Choose model two.


Model one:
{"formula": "MgNb3Se", "functional": "PBE", "state": "relaxed", "lattice_angstrom": [[-3.465, 2.355, -2.329], [-3.125, -1.208, 3.428], [1.097, 3.996, 2.409]], "species": ["Nb", "Nb", "Nb", "Mg", "Se"], "frac_coords": [[0.000, 0.500, 0.000], [0.500, 0.000, 0.000], [0.000, 0.000, 0.500], [0.500, 0.500, 0.500], [0.000, 0.000, 0.000]], "total_magnetization_mub_per_fu": 0.000, "volume_a3_per_atom": 22.0, "n_ef_per_ev_atom": 1.46, "spacegroup": "Pm-3m (221)"}


Model two:
{"formula": "MgNb3Se", "functional": "PBE", "state": "relaxed", "lattice_angstrom": [[-1.158, -2.452, 3.959], [4.548, 0.282, 1.505], [-1.002, 4.116, 2.256]], "species": ["Nb", "Nb", "Nb", "Se", "Mg"], "frac_coords": [[0.500, 0.000, 0.000], [0.000, 0.000, 0.500], [0.000, 0.500, 0.000], [0.500, 0.500, 0.500], [0.000, 0.000, 0.000]], "total_magnetization_mub_per_fu": 0.000, "volume_a3_per_atom": 22.1, "n_ef_per_ev_atom": 1.86, "spacegroup": "Pm-3m (221)"}


What should be chosen as the least stable of them? Choose model two.


Model one:
{"formula": "MgNbSiSn2", "functional": "PBE", "state": "relaxed", "lattice_angstrom": [[-0.878, -5.011, -1.074], [4.587, -0.547, -1.198], [1.135, -1.253, 4.917]], "species": ["Mg", "Si", "Nb", "Sn", "Sn"], "frac_coords": [[0.000, 0.500, 0.000], [0.000, 0.000, 0.000], [0.500, 0.500, 0.500], [0.500, 0.000, 0.000], [0.000, 0.000, 0.500]], "total_magnetization_mub_per_fu": 2.871, "volume_a3_per_atom": 25.8, "n_ef_per_ev_atom": 0.97, "spacegroup": "P4/mmm (123)"}


Model two:
{"formula": "MgNbSiSn2", "functional": "PBE", "state": "relaxed", "lattice_angstrom": [[5.198, 0.000, 0.000], [0.000, 4.790, 0.000], [0.000, 0.000, 5.198]], "species": ["Sn", "Sn", "Si", "Nb", "Mg"], "frac_coords": [[0.000, 0.000, 0.500], [0.500, 0.000, 0.000], [0.000, 0.000, 0.000], [0.000, 0.500, 0.000], [0.500, 0.500, 0.500]], "total_magnetization_mub_per_fu": 0.000, "volume_a3_per_atom": 25.9, "n_ef_per_ev_atom": 0.98, "spacegroup": "P4/mmm (123)"}


What should be chosen as the least stable of them? Choose model one.


Model one:
{"formula": "MgNb2Sn2", "functional": "PBE", "state": "relaxed", "lattice_angstrom": [[-1.396, 6.224, 4.363], [-4.932, 2.633, -5.335], [-2.675, -1.734, 1.618]], "species": ["Mg", "Mg", "Sn", "Sn", "Sn", "Sn", "Nb", "Nb", "Nb", "Nb"], "frac_coords": [[0.000, 0.000, 0.000], [0.500, 0.500, 0.000], [0.656, 0.156, 0.000], [0.844, 0.656, 0.000], [0.156, 0.344, 0.000], [0.344, 0.844, 0.000], [0.366, 0.134, 0.500], [0.134, 0.634, 0.500], [0.866, 0.366, 0.500], [0.634, 0.866, 0.500]], "total_magnetization_mub_per_fu": 0.000, "volume_a3_per_atom": 21.4, "n_ef_per_ev_atom": 0.14, "spacegroup": "P4/mbm (127)"}


Model two:
{"formula": "MgNb2Sn2", "functional": "PBE", "state": "relaxed", "lattice_angstrom": [[4.064, 0.000, 0.000], [0.000, 4.064, 0.000], [2.032, 2.032, 6.821]], "species": ["Sn", "Sn", "Mg", "Nb", "Nb"], "frac_coords": [[0.601, 0.601, 0.797], [0.399, 0.399, 0.203], [0.000, 0.000, 0.000], [0.750, 0.250, 0.500], [0.250, 0.750, 0.500]], "total_magnetization_mub_per_fu": 0.000, "volume_a3_per_atom": 22.5, "n_ef_per_ev_atom": 0.46, "spacegroup": "I4/mmm (139)"}


What should be chosen as the least stable of them? Choose model two.


Model one:
{"formula": "Sr3MgNb", "functional": "PBE", "state": "relaxed", "lattice_angstrom": [[-6.140, 0.279, 0.908], [-0.512, -5.973, -1.632], [0.800, -1.687, 5.926]], "species": ["Sr", "Sr", "Sr", "Nb", "Mg"], "frac_coords": [[0.500, 0.000, 0.000], [0.000, 0.500, 0.000], [0.000, 0.000, 0.500], [0.500, 0.500, 0.500], [0.000, 0.000, 0.000]], "total_magnetization_mub_per_fu": 4.296, "volume_a3_per_atom": 48.0, "n_ef_per_ev_atom": 0.84, "spacegroup": "Pm-3m (221)"}


Model two:
{"formula": "Sr3MgNb", "functional": "PBE", "state": "relaxed", "lattice_angstrom": [[5.937, 0.000, 0.000], [0.000, 5.937, 0.000], [0.000, 0.000, 5.937]], "species": ["Sr", "Sr", "Sr", "Mg", "Nb"], "frac_coords": [[0.500, 0.000, 0.000], [0.000, 0.000, 0.500], [0.000, 0.500, 0.000], [0.500, 0.500, 0.500], [0.000, 0.000, 0.000]], "total_magnetization_mub_per_fu": 0.000, "volume_a3_per_atom": 41.9, "n_ef_per_ev_atom": 1.02, "spacegroup": "Pm-3m (221)"}


What should be chosen as the least stable of them? Choose model one.


Model one:
{"formula": "MgTaNb3", "functional": "PBE", "state": "relaxed", "lattice_angstrom": [[-3.784, 2.710, -1.643], [-2.449, -0.876, 4.195], [2.012, 4.031, 2.016]], "species": ["Nb", "Nb", "Nb", "Mg", "Ta"], "frac_coords": [[0.500, 0.000, 0.000], [0.000, 0.000, 0.500], [0.000, 0.500, 0.000], [0.500, 0.500, 0.500], [0.000, 0.000, 0.000]], "total_magnetization_mub_per_fu": 0.000, "volume_a3_per_atom": 24.1, "n_ef_per_ev_atom": 1.23, "spacegroup": "Pm-3m (221)"}


Model two:
{"formula": "MgTaNb3", "functional": "PBE", "state": "relaxed", "lattice_angstrom": [[4.708, 0.000, 0.000], [0.000, 4.708, 0.000], [0.000, 0.000, 4.708]], "species": ["Nb", "Nb", "Nb", "Mg", "Ta"], "frac_coords": [[0.000, 0.000, 0.500], [0.500, 0.000, 0.000], [0.000, 0.500, 0.000], [0.000, 0.000, 0.000], [0.500, 0.500, 0.500]], "total_magnetization_mub_per_fu": 0.000, "volume_a3_per_atom": 20.9, "n_ef_per_ev_atom": 1.16, "spacegroup": "Pm-3m (221)"}


What should be chosen as the least stable of them? Choose model two.


Model one:
{"formula": "MgNb2Tc2", "functional": "PBE", "state": "relaxed", "lattice_angstrom": [[-3.218, 1.283, -6.705], [-5.604, -4.730, 1.785], [-1.612, 2.374, 1.228]], "species": ["Tc", "Tc", "Tc", "Tc", "Nb", "Nb", "Nb", "Nb", "Mg", "Mg"], "frac_coords": [[0.644, 0.144, 0.000], [0.144, 0.356, 0.000], [0.856, 0.644, 0.000], [0.356, 0.856, 0.000], [0.348, 0.152, 0.500], [0.848, 0.348, 0.500], [0.152, 0.652, 0.500], [0.652, 0.848, 0.500], [0.500, 0.500, 0.000], [0.000, 0.000, 0.000]], "total_magnetization_mub_per_fu": 0.000, "volume_a3_per_atom": 17.8, "n_ef_per_ev_atom": 1.06, "spacegroup": "P4/mbm (127)"}


Model two:
{"formula": "MgNb2Tc2", "functional": "PBE", "state": "relaxed", "lattice_angstrom": [[-6.692, 3.244, -2.020], [-3.722, -6.455, 1.966], [-0.338, 1.048, 2.800]], "species": ["Nb", "Nb", "Nb", "Nb", "Tc", "Tc", "Tc", "Tc", "Mg", "Mg"], "frac_coords": [[0.857, 0.643, 0.000], [0.643, 0.143, 0.000], [0.143, 0.357, 0.000], [0.357, 0.857, 0.000], [0.343, 0.157, 0.500], [0.657, 0.843, 0.500], [0.843, 0.343, 0.500], [0.157, 0.657, 0.500], [0.000, 0.000, 0.000], [0.500, 0.500, 0.000]], "total_magnetization_mub_per_fu": 0.000, "volume_a3_per_atom": 17.9, "n_ef_per_ev_atom": 1.04, "spacegroup": "P4/mbm (127)"}


Model three:
{"formula": "MgNb2Tc2", "functional": "PBE", "state": "relaxed", "lattice_angstrom": [[4.167, 0.000, 0.000], [0.000, 4.167, 0.000], [2.083, 2.083, 5.820]], "species": ["Mg", "Nb", "Nb", "Tc", "Tc"], "frac_coords": [[0.000, 0.000, 0.000], [0.377, 0.377, 0.245], [0.623, 0.623, 0.755], [0.250, 0.750, 0.500], [0.750, 0.250, 0.500]], "total_magnetization_mub_per_fu": 0.000, "volume_a3_per_atom": 20.2, "n_ef_per_ev_atom": 1.56, "spacegroup": "I4/mmm (139)"}


What should be chosen as the least stable of them? Choose model three.


Model one:
{"formula": "MgNbTe3", "functional": "PBE", "state": "relaxed", "lattice_angstrom": [[5.332, 0.000, 0.000], [0.000, 5.332, 0.000], [0.000, 0.000, 5.332]], "species": ["Nb", "Mg", "Te", "Te", "Te"], "frac_coords": [[0.500, 0.500, 0.500], [0.000, 0.000, 0.000], [0.000, 0.000, 0.500], [0.500, 0.000, 0.000], [0.000, 0.500, 0.000]], "total_magnetization_mub_per_fu": 2.457, "volume_a3_per_atom": 30.3, "n_ef_per_ev_atom": 1.07, "spacegroup": "Pm-3m (221)"}


Model two:
{"formula": "MgNbTe3", "functional": "PBE", "state": "relaxed", "lattice_angstrom": [[5.446, 0.000, 0.000], [0.000, 5.446, 0.000], [0.000, 0.000, 5.446]], "species": ["Te", "Te", "Te", "Nb", "Mg"], "frac_coords": [[0.500, 0.000, 0.000], [0.000, 0.500, 0.000], [0.000, 0.000, 0.500], [0.000, 0.000, 0.000], [0.500, 0.500, 0.500]], "total_magnetization_mub_per_fu": 0.000, "volume_a3_per_atom": 32.3, "n_ef_per_ev_atom": 0.88, "spacegroup": "Pm-3m (221)"}


What should be chosen as the least stable of them? Choose model one.


Model one:
{"formula": "Mg3NbTe", "functional": "PBE", "state": "relaxed", "lattice_angstrom": [[-3.116, 1.060, 4.187], [3.037, -3.134, 3.053], [3.071, 4.174, 1.229]], "species": ["Te", "Mg", "Mg", "Mg", "Nb"], "frac_coords": [[0.000, 0.000, 0.000], [0.500, 0.000, 0.000], [0.000, 0.000, 0.500], [0.000, 0.500, 0.000], [0.500, 0.500, 0.500]], "total_magnetization_mub_per_fu": 3.267, "volume_a3_per_atom": 30.2, "n_ef_per_ev_atom": 0.71, "spacegroup": "Pm-3m (221)"}


Model two:
{"formula": "Mg3NbTe", "functional": "PBE", "state": "relaxed", "lattice_angstrom": [[-4.981, 1.197, 1.810], [-2.057, -1.158, -4.893], [-0.692, -5.171, 1.515]], "species": ["Te", "Nb", "Mg", "Mg", "Mg"], "frac_coords": [[0.500, 0.500, 0.500], [0.000, 0.000, 0.000], [0.500, 0.000, 0.000], [0.000, 0.500, 0.000], [0.000, 0.000, 0.500]], "total_magnetization_mub_per_fu": 3.130, "volume_a3_per_atom": 32.1, "n_ef_per_ev_atom": 0.56, "spacegroup": "Pm-3m (221)"}


What should be chosen as the least stable of them? Choose model two.


Model one:
{"formula": "MgNb3Te", "functional": "PBE", "state": "relaxed", "lattice_angstrom": [[4.821, 0.000, 0.000], [0.000, 4.821, 0.000], [0.000, 0.000, 4.821]], "species": ["Mg", "Nb", "Nb", "Nb", "Te"], "frac_coords": [[0.000, 0.000, 0.000], [0.000, 0.000, 0.500], [0.500, 0.000, 0.000], [0.000, 0.500, 0.000], [0.500, 0.500, 0.500]], "total_magnetization_mub_per_fu": 1.372, "volume_a3_per_atom": 22.4, "n_ef_per_ev_atom": 1.47, "spacegroup": "Pm-3m (221)"}


Model two:
{"formula": "MgNb3Te", "functional": "PBE", "state": "relaxed", "lattice_angstrom": [[5.056, 0.000, 0.000], [0.000, 5.056, 0.000], [0.000, 0.000, 5.056]], "species": ["Nb", "Nb", "Nb", "Te", "Mg"], "frac_coords": [[0.000, 0.500, 0.000], [0.000, 0.000, 0.500], [0.500, 0.000, 0.000], [0.000, 0.000, 0.000], [0.500, 0.500, 0.500]], "total_magnetization_mub_per_fu": 0.000, "volume_a3_per_atom": 25.8, "n_ef_per_ev_atom": 1.64, "spacegroup": "Pm-3m (221)"}


What should be chosen as the least stable of them? Choose model one.


Model one:
{"formula": "MgTi2Nb", "functional": "PBE", "state": "relaxed", "lattice_angstrom": [[-1.115, -0.729, 4.467], [-4.443, -0.739, 1.203], [-1.363, -4.232, 1.401]], "species": ["Nb", "Ti", "Ti", "Mg"], "frac_coords": [[0.500, 0.500, 0.500], [0.750, 0.750, 0.750], [0.250, 0.250, 0.250], [0.000, 0.000, 0.000]], "total_magnetization_mub_per_fu": 0.000, "volume_a3_per_atom": 17.9, "n_ef_per_ev_atom": 1.07, "spacegroup": "Fm-3m (225)"}


Model two:
{"formula": "MgTi2Nb", "functional": "PBE", "state": "relaxed", "lattice_angstrom": [[2.998, 0.000, 0.000], [1.499, 2.596, 0.000], [1.499, 0.865, 9.737]], "species": ["Ti", "Ti", "Mg", "Nb"], "frac_coords": [[0.078, 0.078, 0.765], [0.255, 0.255, 0.235], [0.500, 0.500, 0.499], [0.667, 0.667, 0.000]], "total_magnetization_mub_per_fu": 0.000, "volume_a3_per_atom": 18.9, "n_ef_per_ev_atom": 1.23, "spacegroup": "R3m (160)"}


What should be chosen as the least stable of them? Choose model two.


Model one:
{"formula": "MgTi2Nb2", "functional": "PBE", "state": "relaxed", "lattice_angstrom": [[-7.320, 1.037, 0.523], [-0.023, -3.471, 6.548], [0.541, 3.014, 1.599]], "species": ["Ti", "Ti", "Ti", "Ti", "Nb", "Nb", "Nb", "Nb", "Mg", "Mg"], "frac_coords": [[0.836, 0.336, 0.500], [0.164, 0.664, 0.500], [0.664, 0.836, 0.500], [0.336, 0.164, 0.500], [0.369, 0.869, 0.000], [0.631, 0.131, 0.000], [0.131, 0.369, 0.000], [0.869, 0.631, 0.000], [0.500, 0.500, 0.000], [0.000, 0.000, 0.000]], "total_magnetization_mub_per_fu": 0.000, "volume_a3_per_atom": 19.0, "n_ef_per_ev_atom": 1.09, "spacegroup": "P4/mbm (127)"}


Model two:
{"formula": "MgTi2Nb2", "functional": "PBE", "state": "relaxed", "lattice_angstrom": [[3.878, 0.000, 0.000], [0.000, 3.878, 0.000], [1.939, 1.939, 6.526]], "species": ["Nb", "Nb", "Ti", "Ti", "Mg"], "frac_coords": [[0.404, 0.404, 0.192], [0.596, 0.596, 0.808], [0.250, 0.750, 0.500], [0.750, 0.250, 0.500], [0.000, 0.000, 0.000]], "total_magnetization_mub_per_fu": 0.000, "volume_a3_per_atom": 19.6, "n_ef_per_ev_atom": 1.58, "spacegroup": "I4/mmm (139)"}


Model three:
{"formula": "MgTi2Nb2", "functional": "PBE", "state": "relaxed", "lattice_angstrom": [[7.304, 0.000, 0.000], [0.000, 7.304, 0.000], [0.000, 0.000, 3.467]], "species": ["Ti", "Ti", "Ti", "Ti", "Nb", "Nb", "Nb", "Nb", "Mg", "Mg"], "frac_coords": [[0.631, 0.131, 0.000], [0.131, 0.369, 0.000], [0.369, 0.869, 0.000], [0.869, 0.631, 0.000], [0.835, 0.335, 0.500], [0.665, 0.835, 0.500], [0.165, 0.665, 0.500], [0.335, 0.165, 0.500], [0.000, 0.000, 0.000], [0.500, 0.500, 0.000]], "total_magnetization_mub_per_fu": 0.000, "volume_a3_per_atom": 18.5, "n_ef_per_ev_atom": 1.38, "spacegroup": "P4/mbm (127)"}


What should be chosen as the least stable of them? Choose model two.